1.
# BaZnAs2Br (SCAN, PBEsol geometry)
# Final energy (Ry per atom): -1.706
# Crystal system: tetragonal
# Total moment (μB/f.u.): 0.00
# Formation energy (no corrections) (meV/atom): -636
# Volume (Å³ per atom): 26.63
data_BaZnAs2Br
_space_group_name_H-M_alt 'P 4/m m m'
_space_group_IT_number 123
_space_group_name_Hall '-P 4 2'
_cell_length_a 4.735
_cell_length_b 4.735
_cell_length_c 5.938
_cell_angle_alpha 90.00
_cell_angle_beta 90.00
_cell_angle_gamma 90.00
loop_
_atom_site_label
_atom_site_type_symbol
_atom_site_fract_x
_atom_site_fract_y
_atom_site_fract_z
_atom_site_occupancy
Ba1 Ba 0.000 0.000 0.000 1
Zn1 Zn 0.500 0.500 0.500 1
As1 As 0.000 0.500 0.500 1
Br1 Br 0.500 0.500 0.000 1


2.
# GaPO2 (SCAN, PBEsol geometry)
# Final energy (Ry per atom): -0.813
# Crystal system: trigonal
# Total moment (μB/f.u.): 0.00
# Formation energy (no corrections) (meV/atom): -1264
# Volume (Å³ per atom): 11.24
data_GaPO2
_space_group_name_H-M_alt 'R -3 m'
_space_group_IT_number 166
_space_group_name_Hall '-R 3 2"'
_cell_length_a 2.9251
_cell_length_b 2.9251
_cell_length_c 18.2102
_cell_angle_alpha 90.00
_cell_angle_beta 90.00
_cell_angle_gamma 120.00
loop_
_atom_site_label
_atom_site_type_symbol
_atom_site_fract_x
_atom_site_fract_y
_atom_site_fract_z
_atom_site_occupancy
Ga1 Ga 0.0000 0.0000 0.0000 1
P1 P 0.0000 0.0000 0.5000 1
O1 O 0.0000 0.0000 0.3906 1


3.
# ZrTaW (SCAN, PBEsol geometry)
# Energy relative to the elements (eV/atom): 0.337
# Final energy (Ry per atom): -4.066
# Crystal system: trigonal
# Total moment (μB/f.u.): 0.00
# Volume (Å³ per atom): 18.61
data_ZrTaW
_space_group_name_H-M_alt 'P 3 m 1'
_space_group_IT_number 156
_cell_length_a 3.1267
_cell_length_b 3.1267
_cell_length_c 6.5934
_cell_angle_alpha 90.00
_cell_angle_beta 90.00
_cell_angle_gamma 120.00
loop_
_space_group_symop_operation_xyz
'x,y,z'
'-y,x-y,z'
'-x+y,-x,z'
'-y,-x,z'
'-x+y,y,z'
'x,x-y,z'
loop_
_atom_site_label
_atom_site_type_symbol
_atom_site_fract_x
_atom_site_fract_y
_atom_site_fract_z
_atom_site_occupancy
Zr1 Zr 0.0000 0.0000 0.0000 1
Ta1 Ta 0.3333 0.6667 0.6292 1
W1 W 0.6667 0.3333 0.3350 1


4.
# Ti2CoH (SCAN, PBEsol geometry)
# Final energy (Ry per atom): -0.981
# Crystal system: tetragonal
# Total moment (μB/f.u.): 0.00
# Volume (Å³ per atom): 11.42
data_Ti2CoH
_space_group_name_H-M_alt 'I -4 2 d'
_space_group_IT_number 122
_space_group_name_Hall 'I -4 2bw'
_cell_length_a 5.490
_cell_length_b 5.490
_cell_length_c 6.061
_cell_angle_alpha 90.00
_cell_angle_beta 90.00
_cell_angle_gamma 90.00
loop_
_atom_site_label
_atom_site_type_symbol
_atom_site_fract_x
_atom_site_fract_y
_atom_site_fract_z
_atom_site_occupancy
Ti1 Ti 0.185 0.750 0.125 1
Co1 Co 0.000 0.000 0.500 1
H1 H 0.000 0.000 0.000 1


5.
# TaPNO2 (SCAN, PBEsol geometry)
# Final energy (Ry per atom): -1.492
# Crystal system: tetragonal
# Total moment (μB/f.u.): 1.00
# Formation energy (no corrections) (meV/atom): -547
# Volume (Å³ per atom): 15.16
data_TaPNO2
_space_group_name_H-M_alt 'P 4/m m m'
_space_group_IT_number 123
_space_group_name_Hall '-P 4 2'
_cell_length_a 3.768
_cell_length_b 3.768
_cell_length_c 5.338
_cell_angle_alpha 90.00
_cell_angle_beta 90.00
_cell_angle_gamma 90.00
loop_
_atom_site_label
_atom_site_type_symbol
_atom_site_fract_x
_atom_site_fract_y
_atom_site_fract_z
_atom_site_occupancy
Ta1 Ta 0.000 0.000 0.000 1
P1 P 0.000 0.000 0.500 1
N1 N 0.500 0.500 0.500 1
O1 O 0.000 0.500 0.000 1


6.
# Cu2TeSe (SCAN, PBEsol geometry)
# Final energy (Ry per atom): -1.619
# Crystal system: tetragonal
# Total moment (μB/f.u.): 0.00
# E above lowest polymorph (meV per atom): 0
# Formation energy (no corrections) (meV/atom): -97
# Volume (Å³ per atom): 21.80
data_Cu2TeSe
_space_group_name_H-M_alt 'I -4 2 d'
_space_group_IT_number 122
_space_group_name_Hall 'I -4 2bw'
_cell_length_a 5.600
_cell_length_b 5.600
_cell_length_c 11.124
_cell_angle_alpha 90.00
_cell_angle_beta 90.00
_cell_angle_gamma 90.00
loop_
_atom_site_label
_atom_site_type_symbol
_atom_site_fract_x
_atom_site_fract_y
_atom_site_fract_z
_atom_site_occupancy
Cu1 Cu 0.223 0.250 0.125 1
Te1 Te 0.000 0.000 0.500 1
Se1 Se 0.000 0.000 0.000 1


Repeat the third record exactly.
# ZrTaW (SCAN, PBEsol geometry)
# Energy relative to the elements (eV/atom): 0.337
# Final energy (Ry per atom): -4.066
# Crystal system: trigonal
# Total moment (μB/f.u.): 0.00
# Volume (Å³ per atom): 18.61
data_ZrTaW
_space_group_name_H-M_alt 'P 3 m 1'
_space_group_IT_number 156
_cell_length_a 3.1267
_cell_length_b 3.1267
_cell_length_c 6.5934
_cell_angle_alpha 90.00
_cell_angle_beta 90.00
_cell_angle_gamma 120.00
loop_
_space_group_symop_operation_xyz
'x,y,z'
'-y,x-y,z'
'-x+y,-x,z'
'-y,-x,z'
'-x+y,y,z'
'x,x-y,z'
loop_
_atom_site_label
_atom_site_type_symbol
_atom_site_fract_x
_atom_site_fract_y
_atom_site_fract_z
_atom_site_occupancy
Zr1 Zr 0.0000 0.0000 0.0000 1
Ta1 Ta 0.3333 0.6667 0.6292 1
W1 W 0.6667 0.3333 0.3350 1